1.
The following is a PBE calculation of Ti2GaRh5 after structural relaxation, from the Alexandria database.

N(E_F) in states/eV per atom: 0.674
ρ in g/cm³: 9.85
V in Å³ per cell: 229
Energy of formation from the pure elements in eV/atom: -0.7857

abc: 5.4051 10.6675 3.9757
angles: 90.00 90.00 90.00
Closest atoms and distances in Å follow each position.
Space group Pbam (No. 55)
Unique sites:
1 Ti 0.1851 0.1387 0.0000  10 Rh 2.65-2.78
2 Ga 0.0000 0.5000 0.5000  8 Rh 2.55-2.70
3 Rh 0.0000 0.0000 0.5000  4 Ti 2.67, 2 Ga 2.70, 6 Rh 2.72-2.84
4 Rh 0.0636 0.7470 0.5000  1 Ga 2.66, 4 Ti 2.67-2.69, 7 Rh 2.70-2.83
5 Rh 0.1970 0.3877 0.0000  2 Ga 2.55, 4 Ti 2.65-2.78, 6 Rh 2.81-2.84

***

2.
The following is a PBE calculation of Ge2AsC after structural relaxation, from the Alexandria database.

N(E_F) in states/eV per atom: 0.420
Energy above the lowest structure with this stoichiometry in eV/atom: 0.000
ρ in g/cm³: 5.53
V in Å³ per cell: 279
Energy of formation from the pure elements in eV/atom: 0.5323

abc: 5.5406 5.5406 9.0834
angles: 90.00 90.00 90.00
Closest atoms and distances in Å follow each position.
Space group I-42d (No. 122)
Unique sites:
1 Ge 0.1754 0.2500 0.1250  2 C 2.04
2 As 0.0000 0.0000 0.5000  4 Ge 2.54
3 C 0.0000 0.0000 0.0000  4 Ge 2.04

***

Please write out number 2 again, unchanged.
The following is a PBE calculation of Ge2AsC after structural relaxation, from the Alexandria database.

N(E_F) in states/eV per atom: 0.420
Energy above the lowest structure with this stoichiometry in eV/atom: 0.000
ρ in g/cm³: 5.53
V in Å³ per cell: 279
Energy of formation from the pure elements in eV/atom: 0.5323

abc: 5.5406 5.5406 9.0834
angles: 90.00 90.00 90.00
Closest atoms and distances in Å follow each position.
Space group I-42d (No. 122)
Unique sites:
1 Ge 0.1754 0.2500 0.1250  2 C 2.04
2 As 0.0000 0.0000 0.5000  4 Ge 2.54
3 C 0.0000 0.0000 0.0000  4 Ge 2.04

***

Repeat the second record exactly.
The following is a PBE calculation of Ge2AsC after structural relaxation, from the Alexandria database.

N(E_F) in states/eV per atom: 0.420
Energy above the lowest structure with this stoichiometry in eV/atom: 0.000
ρ in g/cm³: 5.53
V in Å³ per cell: 279
Energy of formation from the pure elements in eV/atom: 0.5323

abc: 5.5406 5.5406 9.0834
angles: 90.00 90.00 90.00
Closest atoms and distances in Å follow each position.
Space group I-42d (No. 122)
Unique sites:
1 Ge 0.1754 0.2500 0.1250  2 C 2.04
2 As 0.0000 0.0000 0.5000  4 Ge 2.54
3 C 0.0000 0.0000 0.0000  4 Ge 2.04

***

- The lowest energy of formation from the pure elements belongs to which entry?
  Ti2GaRh5

***

- Which formula does entry 2 have?
  Ge2AsC